Computed, not measured: a geometry-optimized Pu5Al structure at the PBE-GGA level of DFT.

Summary:
- space group = Cmmm, No. 65
- formation enthalpy at 0 K (eV per atom) = 0.11

a b c (Å): 6.212 6.212 4.955
angles (deg): 90.00 90.00 142.72
Sites, in units of the cell vectors:
1 Pu 0.000 0.000 0.000
2 Pu 0.196 0.804 0.500
3 Pu 0.360 0.640 0.000
4 Pu 0.640 0.360 0.000
5 Pu 0.804 0.196 0.500
6 Al 0.500 0.500 0.500



Computed, not measured: a geometry-optimized Sm6Ho2Er structure at the PBE-GGA level of DFT.

Summary:
- space group = C2/m, No. 12
- energy above the lowest structure with this stoichiometry (eV per atom) = 0.080
- formation enthalpy at 0 K (eV per atom) = 0.21

a b c (Å): 7.633 7.633 6.017
angles (deg): 90.01 90.01 60.01
Sites, in units of the cell vectors:
1 Sm 0.121 0.688 0.715
2 Sm 0.312 0.312 0.283
3 Sm 0.312 0.879 0.285
4 Sm 0.688 0.121 0.715
5 Sm 0.688 0.688 0.717
6 Sm 0.879 0.312 0.285
7 Ho 0.166 0.166 0.781
8 Ho 0.834 0.834 0.219
9 Er 0.500 0.500 0.000



Computed, not measured: a geometry-optimized K2Zn4CdGe3 structure at the PBE-GGA level of DFT.

Summary:
- space group = P-4m2, No. 115
- formation enthalpy at 0 K (eV per atom) = -0.05

a b c (Å): 4.480 4.480 11.079
angles (deg): 90.00 90.00 90.00
Sites, in units of the cell vectors:
1 K 0.000 0.500 0.240
2 K 0.500 0.000 0.760
3 Zn 0.000 0.000 0.000
4 Zn 0.000 0.500 0.645
5 Zn 0.500 0.000 0.355
6 Zn 0.500 0.500 0.000
7 Cd 0.000 0.000 0.500
8 Ge 0.000 0.500 0.874
9 Ge 0.500 0.000 0.126
10 Ge 0.500 0.500 0.500



Computed, not measured: a geometry-optimized LaPr2Ho5Tm structure at the PBE-GGA level of DFT.

Summary:
- space group = I4/mcm, No. 140
- formation enthalpy at 0 K (eV per atom) = 0.26

a b c (Å): 9.961 9.961 9.961
angles (deg): 127.93 127.93 76.74
Sites, in units of the cell vectors:
1 La 0.250 0.250 0.000
2 La 0.750 0.750 0.000
3 Pr 0.118 0.618 0.736
4 Pr 0.382 0.118 0.500
5 Pr 0.618 0.882 0.500
6 Pr 0.882 0.382 0.264
7 Ho 0.000 0.000 0.000
8 Ho 0.072 0.152 0.500
9 Ho 0.152 0.652 0.079
10 Ho 0.348 0.428 0.500
11 Ho 0.428 0.928 0.079
12 Ho 0.500 0.500 0.000
13 Ho 0.572 0.072 0.921
14 Ho 0.652 0.572 0.500
15 Ho 0.848 0.348 0.921
16 Ho 0.928 0.848 0.500
17 Tm 0.250 0.750 0.500
18 Tm 0.750 0.250 0.500



Computed, not measured: a geometry-optimized Li2CaRu structure at the PBE-GGA level of DFT.

Summary:
- space group = I4/mmm, No. 139
- energy above the lowest structure with this stoichiometry (eV per atom) = 0.064
- formation enthalpy at 0 K (eV per atom) = 0.32

a b c (Å): 5.003 5.003 5.003
angles (deg): 130.01 130.01 73.39
Sites, in units of the cell vectors:
1 Li 0.250 0.750 0.500
2 Li 0.750 0.250 0.500
3 Ca 0.000 0.000 0.000
4 Ru 0.500 0.500 0.000



Computed, not measured: a geometry-optimized Li3LaEr2Te6 structure at the PBE-GGA level of DFT.

Summary:
- space group = C2/m, No. 12
- E_form (uncorrected) (eV per formula unit) = -15.7

a b c (Å): 7.618 7.618 7.498
angles (deg): 99.76 99.76 120.01
Sites, in units of the cell vectors:
1 Li 0.000 0.000 0.000
2 Li 0.334 0.666 0.000
3 Li 0.666 0.334 0.000
4 La 0.500 0.500 0.500
5 Er 0.167 0.833 0.500
6 Er 0.833 0.167 0.500
7 Te 0.068 0.415 0.244
8 Te 0.239 0.239 0.758
9 Te 0.415 0.068 0.244
10 Te 0.585 0.932 0.756
11 Te 0.761 0.761 0.242
12 Te 0.932 0.585 0.756



Computed, not measured: a geometry-optimized AlCd3Pt12 structure at the PBE-GGA level of DFT.

Summary:
- space group = P4/mmm, No. 123
- formation enthalpy at 0 K (eV per atom) = -0.32

a b c (Å): 4.024 4.024 15.938
angles (deg): 90.00 90.00 90.00
Sites, in units of the cell vectors:
1 Al 0.000 0.000 0.000
2 Cd 0.000 0.000 0.246
3 Cd 0.000 0.000 0.500
4 Cd 0.000 0.000 0.754
5 Pt 0.000 0.500 0.116
6 Pt 0.000 0.500 0.373
7 Pt 0.000 0.500 0.627
8 Pt 0.000 0.500 0.884
9 Pt 0.500 0.000 0.116
10 Pt 0.500 0.000 0.373
11 Pt 0.500 0.000 0.627
12 Pt 0.500 0.000 0.884
13 Pt 0.500 0.500 0.000
14 Pt 0.500 0.500 0.245
15 Pt 0.500 0.500 0.500
16 Pt 0.500 0.500 0.755



Computed, not measured: a geometry-optimized Nd2CdCu structure at the PBE-GGA level of DFT.

Summary:
- space group = P4/mmm, No. 123
- energy above the lowest structure with this stoichiometry (eV per atom) = 0.000
- formation enthalpy at 0 K (eV per atom) = -0.22

a b c (Å): 3.678 3.678 7.652
angles (deg): 90.00 90.00 90.00
Sites, in units of the cell vectors:
1 Nd 0.000 0.000 0.226
2 Nd 0.000 0.000 0.774
3 Cd 0.500 0.500 0.500
4 Cu 0.500 0.500 0.000